VASP calculation (PBE+U) on crystalline K3LiV2O6 at its relaxed geometry.

a b c (Å): 6.0432 6.0432 7.0541
angles (deg): 90.00 90.00 120.00
Positions (direct):
K (0.0000, 0.0000, 0.0000)
K (0.3333, 0.6667, 0.6798)
K (0.6667, 0.3333, 0.3202)
Li (0.0000, 0.0000, 0.5000)
V (0.3333, 0.6667, 0.2385)
V (0.6667, 0.3333, 0.7615)
O (0.1726, 0.3453, 0.2919)
O (0.1726, 0.8274, 0.2919)
O (0.3453, 0.1726, 0.7081)
O (0.6547, 0.8274, 0.2919)
O (0.8274, 0.1726, 0.7081)
O (0.8274, 0.6547, 0.7081)

The uncorrected energy is -70.4 eV/cell.